Compound: MnCu2Ni
Source: the Alexandria database
Functional: meta-GGA SCAN
Structure: PBEsol geometry

Cell and atoms, written as CIF:
```
data_MnCu2Ni
_cell_length_a 2.4685
_cell_length_b 2.4685
_cell_length_c 24.8220
_cell_angle_alpha 90.00
_cell_angle_beta 90.00
_cell_angle_gamma 120.00
_space_group_name_H-M_alt 'R -3 m'
_space_group_IT_number 166
_space_group_name_Hall '-R 3 2"'
loop_
_atom_site_label
_atom_site_fract_x
_atom_site_fract_y
_atom_site_fract_z
_atom_site_occupancy
Mn1 0.0000 0.0000 0.0000 1
Cu1 0.0000 0.0000 0.2487 1
Ni1 0.0000 0.0000 0.5000 1
```

Results
Calculated formation energy   108.3 meV per atom
Electronic total energy   -16.10 eV per atom

=====

Compound: MnCu2Ni
Source: the Alexandria database
Functional: meta-GGA SCAN
Structure: PBEsol geometry

Cell and atoms, written as CIF:
```
data_MnCu2Ni
_cell_length_a 3.578
_cell_length_b 3.578
_cell_length_c 7.107
_cell_angle_alpha 90.00
_cell_angle_beta 90.00
_cell_angle_gamma 90.00
_space_group_name_H-M_alt 'I -4 m 2'
_space_group_IT_number 119
_space_group_name_Hall 'I -4 -2'
loop_
_atom_site_label
_atom_site_fract_x
_atom_site_fract_y
_atom_site_fract_z
_atom_site_occupancy
Mn1 0.000 0.000 0.000 1
Cu1 0.000 0.000 0.500 1
Cu2 0.000 0.500 0.250 1
Ni1 0.000 0.500 0.750 1
```

Results
Calculated formation energy   -142.2 meV per atom
Electronic total energy   -16.35 eV per atom

=====

Compound: MnCu2Ni
Source: the Alexandria database
Functional: meta-GGA SCAN
Structure: PBEsol geometry

Cell and atoms, written as CIF:
```
data_MnCu2Ni
_cell_length_a 3.507
_cell_length_b 3.507
_cell_length_c 7.419
_cell_angle_alpha 90.00
_cell_angle_beta 90.00
_cell_angle_gamma 90.00
_space_group_name_H-M_alt 'I 4/m m m'
_space_group_IT_number 139
_space_group_name_Hall '-I 4 2'
loop_
_atom_site_label
_atom_site_fract_x
_atom_site_fract_y
_atom_site_fract_z
_atom_site_occupancy
Mn1 0.000 0.000 0.000 1
Cu1 0.000 0.500 0.250 1
Ni1 0.000 0.000 0.500 1
```

Results
Calculated formation energy   -140.9 meV per atom
Electronic total energy   -16.35 eV per atom

=====

Compound: MnCuNi
Source: the Alexandria database
Functional: meta-GGA SCAN
Structure: PBEsol geometry

Cell and atoms, written as CIF:
```
data_MnCuNi
_cell_length_a 2.632
_cell_length_b 3.385
_cell_length_c 7.686
_cell_angle_alpha 90.00
_cell_angle_beta 90.00
_cell_angle_gamma 90.00
_space_group_name_H-M_alt 'I m m 2'
_space_group_IT_number 44
_space_group_name_Hall 'I 2 -2'
loop_
_atom_site_label
_atom_site_fract_x
_atom_site_fract_y
_atom_site_fract_z
_atom_site_occupancy
Mn1 0.000 0.000 0.000 1
Cu1 0.000 0.000 0.328 1
Ni1 0.000 0.000 0.662 1
```

Results
Calculated formation energy   -157.7 meV per atom
Electronic total energy   -16.70 eV per atom

=====

Compound: MnCu2Ni
Source: the Alexandria database
Functional: meta-GGA SCAN
Structure: PBEsol geometry

Cell and atoms, written as CIF:
```
data_MnCu2Ni
_cell_length_a 2.962
_cell_length_b 2.962
_cell_length_c 5.245
_cell_angle_alpha 90.00
_cell_angle_beta 90.00
_cell_angle_gamma 90.00
_space_group_name_H-M_alt 'P 4 m m'
_space_group_IT_number 99
_space_group_name_Hall 'P 4 -2'
loop_
_atom_site_label
_atom_site_fract_x
_atom_site_fract_y
_atom_site_fract_z
_atom_site_occupancy
Mn1 0.000 0.000 0.000 1
Cu1 0.000 0.000 0.492 1
Cu2 0.500 0.500 0.734 1
Ni1 0.500 0.500 0.240 1
```

Results
Calculated formation energy   -106.1 meV per atom
Electronic total energy   -16.31 eV per atom

=====

Compound: Mn3CuO8
Source: the Alexandria database
Functional: meta-GGA SCAN
Structure: PBEsol geometry

Cell and atoms, written as CIF:
```
data_Mn3CuO8
_cell_length_a 5.6266
_cell_length_b 5.6266
_cell_length_c 14.1799
_cell_angle_alpha 90.00
_cell_angle_beta 90.00
_cell_angle_gamma 120.00
_space_group_name_H-M_alt 'R -3 m'
_space_group_IT_number 166
_space_group_name_Hall '-R 3 2"'
loop_
_atom_site_label
_atom_site_fract_x
_atom_site_fract_y
_atom_site_fract_z
_atom_site_occupancy
Mn1 0.0000 0.5000 0.0000 1
Cu1 0.0000 0.0000 0.5000 1
O1 0.0000 0.0000 0.2640 1
O2 0.0347 0.5173 0.2585 1
```

Results
Formation energy from raw total energies   -18.9 eV/f.u.
Electronic total energy   -11.56 eV per atom